Record 1
VASP calculation (PBE) on an optimized crystal structure of TcPt2Br.

- formation energy from raw total energies (meV per atom) = 454
- energy above the most stable polymorph in this dataset (eV per atom) = 0.244

a = 2.8191 Å, b = 4.7791 Å, c = 10.8671 Å
α = 90.00°, β = 90.00°, γ = 90.00°
Space group Cmmm (No. 65)
Inequivalent atoms, fractional coordinates:
Tc (0.0000, 0.0000, 0.0000) (multiplicity 2)
Pt (0.0000, 0.5000, 0.2104) (multiplicity 4)
Br (0.0000, 0.0000, 0.5000) (multiplicity 2)

Record 2
VASP calculation (PBE) on an optimized crystal structure of Ba3Sr2Ca3.

- energy above the most stable polymorph in this dataset (eV per atom) = 0.004
- E_form (eV/atom) = 0.030

a = 7.2764 Å, b = 7.3115 Å, c = 16.3834 Å
α = 85.39°, β = 81.07°, γ = 80.31°
Space group P-1 (No. 2)
Inequivalent atoms, fractional coordinates:
Ba (0.0219, 0.3784, 0.2187) (multiplicity 2)
Ba (0.3420, 0.1341, 0.4076) (multiplicity 2)
Ba (0.4114, 0.8756, 0.8466) (multiplicity 2)
Sr (0.0861, 0.1348, 0.6533) (multiplicity 2)
Sr (0.1624, 0.8648, 0.0918) (multiplicity 2)
Ca (0.2263, 0.6190, 0.5289) (multiplicity 2)
Ca (0.2794, 0.3771, 0.9671) (multiplicity 2)
Ca (0.4708, 0.6294, 0.2848) (multiplicity 2)

Record 3
VASP calculation (PBE) on an optimized crystal structure of Be2SbP.

- formation energy from raw total energies (meV per atom) = 650
- energy above the most stable polymorph in this dataset (eV per atom) = 0.604

a = 3.5135 Å, b = 3.5402 Å, c = 5.0094 Å
α = 90.00°, β = 90.00°, γ = 90.00°
Space group Pmmm (No. 47)
Inequivalent atoms, fractional coordinates:
Be (0.0000, 0.0000, 0.0000) (multiplicity 1)
Be (0.5000, 0.0000, 0.5000) (multiplicity 1)
Sb (0.0000, 0.5000, 0.5000) (multiplicity 1)
P (0.5000, 0.5000, 0.0000) (multiplicity 1)

Record 4
VASP calculation (PBE) on an optimized crystal structure of LaVSiRu2.

- formation energy from raw total energies (meV per atom) = 822

a = 4.4772 Å, b = 4.4772 Å, c = 5.2773 Å
α = 90.00°, β = 90.00°, γ = 90.00°
Space group P4/mmm (No. 123)
Inequivalent atoms, fractional coordinates:
La (0.0000, 0.0000, 0.0000) (multiplicity 1)
V (0.0000, 0.0000, 0.5000) (multiplicity 1)
Si (0.5000, 0.5000, 0.0000) (multiplicity 1)
Ru (0.0000, 0.5000, 0.5000) (multiplicity 2)

Record 5
VASP calculation (PBE) on an optimized crystal structure of In2CoPbBr.

- formation energy from raw total energies (meV per atom) = -225

a = 5.0713 Å, b = 5.0713 Å, c = 5.0168 Å
α = 90.00°, β = 90.00°, γ = 90.00°
Space group P4/mmm (No. 123)
Inequivalent atoms, fractional coordinates:
In (0.0000, 0.5000, 0.0000) (multiplicity 2)
Co (0.0000, 0.0000, 0.0000) (multiplicity 1)
Pb (0.0000, 0.0000, 0.5000) (multiplicity 1)
Br (0.5000, 0.5000, 0.5000) (multiplicity 1)

Record 6
VASP calculation (PBE) on an optimized crystal structure of LaYRe2.

- energy above the most stable polymorph in this dataset (eV per atom) = 0.422
- E_form (eV/atom) = 0.519

a = 6.8742 Å, b = 6.8742 Å, c = 6.8742 Å
α = 90.00°, β = 90.00°, γ = 90.00°
Space group F-43m (No. 216)
Inequivalent atoms, fractional coordinates:
La (0.0000, 0.0000, 0.0000) (multiplicity 4)
Y (0.2500, 0.2500, 0.7500) (multiplicity 4)
Re (0.0000, 0.0000, 0.5000) (multiplicity 4)
Re (0.2500, 0.2500, 0.2500) (multiplicity 4)

| no. | DOS at the Fermi energy (states/eV/cell) | magnetization (Bohr magnetons per cell) | total DFT energy (no corrections) (eV/atom) |
| --- | --- | --- | --- |
| 1 | 10.99 | 0.00 | -5.58 |
| 2 | 18.46 | 0.00 | -1.86 |
| 3 | 2.01 | 0.00 | -3.60 |
| 4 | 6.10 | 0.48 | -6.78 |
| 5 | 0.77 | 0.00 | -3.82 |
| 6 | 6.47 | 0.01 | -8.55 |